(1)
PuU3 after structural relaxation, computed with PBE.

Summary:
calculated formation energy	0.17	eV/atom

abc: 3.9123 3.9123 5.9411
angles: 109.22 109.22 90.00
With the nearest neighbours (Å) after each atom.
Sites, in units of the cell vectors:
Pu: 0.0000 0.0000 0.0000  4 U 2.77
U: 0.5000 0.5000 0.0000  4 Pu 2.77
U: 0.7500 0.2500 0.5000  4 U 2.77
U: 0.2500 0.7500 0.5000  4 U 2.77

=====

(2)
CrHgRu2 after structural relaxation, computed with PBE.

Summary:
calculated formation energy	0.32	eV/atom
D(E_F)	3.72	states/eV/cell

abc: 9.1710 9.1710 9.1710
angles: 17.50 17.50 17.50
With the nearest neighbours (Å) after each atom.
Sites, in units of the cell vectors:
Cr: 0.2500 0.2500 0.2500  6 Ru 2.53, 6 Cr 2.79
Ru: 0.5113 0.5113 0.5113  3 Cr 2.53, 6 Ru 2.79
Hg: 0.7500 0.7500 0.7500  6 Hg 2.79, 6 Ru 3.03
Ru: 0.9887 0.9887 0.9887  3 Cr 2.53, 6 Ru 2.79

=====

(3)
Tl2GaHgH after structural relaxation, computed with PBE.

Summary:
D(E_F)	1.68	states/eV/cell

abc: 5.4077 5.4077 3.9177
angles: 90.00 90.00 90.00
With the nearest neighbours (Å) after each atom.
Sites, in units of the cell vectors:
H: 0.0000 0.0000 0.0000  2 Ga 1.96
Tl: 0.5000 0.0000 0.0000  2 H 2.70
Ga: 0.0000 0.0000 0.5000  2 H 1.96
Tl: 0.0000 0.5000 0.0000  2 H 2.70
Hg: 0.5000 0.5000 0.5000  8 Tl 3.34

=====

Quick rundown of final energy, same order as above: -0.8727, -0.4994, -0.1533 Ry per atom